Below is TePtCl2 after structural relaxation, with properties calculated at the PBE level.

**DOS at the Fermi energy**: 4.23 states/eV/f.u.
**Total DFT energy (no corrections)**: -2.792 eV per atom

POSCAR file:
```
TePtCl2
1.0
-0.994 2.763 1.124
-2.189 -1.481 1.703
7.114 -0.857 8.399
Cl Pt Te
2 1 1
Direct
0.000 0.000 0.107 Cl
0.000 0.000 0.393 Cl
0.500 0.500 0.250 Pt
0.500 0.500 0.750 Te
```